12
Lattice="5.128 -0.031 1.709 0.041 7.715 0.014 -0.005 -0.015 8.561" Properties=species:S:1:pos:R:3 comment="Nd5HoCd6 | Alexandria | PBE | optimized geometry" e_form_mev_per_atom=-315 magmom_total_mub_per_fu=2.21 pbc="T T T"
Nd 3.448 3.827 6.819
Nd 1.711 -0.015 3.412
Nd 0.021 3.857 0.007
Nd 3.412 -0.031 6.858
Nd 1.717 3.842 3.465
Ho 0.000 0.000 0.000
Cd 4.322 5.796 4.232
Cd 4.300 1.858 4.225
Cd 2.574 1.865 0.858
Cd 2.595 5.819 0.865
Cd 0.864 5.811 6.059
Cd 0.843 1.873 6.052